No. 1
# BaCe2Ho (PBE, relaxed)
# VASP energy: -4.254 eV per atom
# Mass density: 7.0 Mg/m³
# Volume: 34.7 Å³ per atom
# DFT formation energy: 0.338 eV per atom
data_BaCe2Ho
_cell_length_a 3.5276
_cell_length_b 3.5276
_cell_length_c 38.5853
_cell_angle_alpha 90.00
_cell_angle_beta 90.00
_cell_angle_gamma 120.00
_symmetry_space_group_name_H-M 'R -3 m'
_symmetry_Int_Tables_number 166
_symmetry_space_group_name_Hall '-R 3 2"'
loop_
_atom_site_label
_atom_site_type_symbol
_atom_site_fract_x
_atom_site_fract_y
_atom_site_fract_z
Ba1 Ba 0.0000 0.0000 0.0000
Ce1 Ce 0.0000 0.0000 0.0923
Ho1 Ho 0.0000 0.0000 0.5000



No. 2
# K2CrFe (PBE, relaxed)
# VASP energy: -3.701 eV per atom
# Mass density: 2.2 Mg/m³
# Volume: 34.5 Å³ per atom
# DFT formation energy: 1.369 eV per atom
data_K2CrFe
_cell_length_a 8.205
_cell_length_b 8.205
_cell_length_c 8.205
_cell_angle_alpha 90.00
_cell_angle_beta 90.00
_cell_angle_gamma 90.00
_symmetry_space_group_name_H-M 'F m -3 m'
_symmetry_Int_Tables_number 225
_symmetry_space_group_name_Hall '-F 4 2 3'
loop_
_atom_site_label
_atom_site_type_symbol
_atom_site_fract_x
_atom_site_fract_y
_atom_site_fract_z
K1 K 0.250 0.250 0.250
Cr1 Cr 0.000 0.000 0.000
Fe1 Fe 0.000 0.000 0.500



No. 3
# Tb5SbTe4 (PBE, relaxed)
# VASP energy: -5.281 eV per atom
# Mass density: 8.0 Mg/m³
# Volume: 29.7 Å³ per atom
data_Tb5SbTe4
_cell_length_a 4.371
_cell_length_b 4.371
_cell_length_c 31.079
_cell_angle_alpha 90.00
_cell_angle_beta 90.00
_cell_angle_gamma 90.00
_symmetry_space_group_name_H-M 'I 4/m m m'
_symmetry_Int_Tables_number 139
_symmetry_space_group_name_Hall '-I 4 2'
loop_
_atom_site_label
_atom_site_type_symbol
_atom_site_fract_x
_atom_site_fract_y
_atom_site_fract_z
Tb1 Tb 0.000 0.000 0.000
Tb2 Tb 0.000 0.000 0.204
Tb3 Tb 0.000 0.000 0.403
Sb1 Sb 0.000 0.000 0.500
Te1 Te 0.000 0.000 0.102
Te2 Te 0.000 0.000 0.303



No. 4
# Cu3S2Cl (PBE, relaxed)
# VASP energy: -4.024 eV per atom
# Mass density: 4.3 Mg/m³
# Volume: 18.7 Å³ per atom
data_Cu3S2Cl
_cell_length_a 6.522
_cell_length_b 11.332
_cell_length_c 6.419
_cell_angle_alpha 90.00
_cell_angle_beta 108.94
_cell_angle_gamma 90.00
_symmetry_space_group_name_H-M 'C 1 c 1'
_symmetry_Int_Tables_number 9
_symmetry_space_group_name_Hall 'C -2yc'
loop_
_atom_site_label
_atom_site_type_symbol
_atom_site_fract_x
_atom_site_fract_y
_atom_site_fract_z
Cu1 Cu 0.000 0.085 0.000
Cu2 Cu 0.044 0.235 0.502
Cu3 Cu 0.054 0.403 0.023
S1 S 0.406 0.251 0.636
S2 S 0.410 0.418 0.134
Cl1 Cl 0.406 0.082 0.132



No. 5
# La3CeOs2 (PBE, relaxed)
# VASP energy: -7.310 eV per atom
# Mass density: 8.9 Mg/m³
# Volume: 29.1 Å³ per atom
# DFT formation energy: -0.114 eV per atom
data_La3CeOs2
_cell_length_a 19.084
_cell_length_b 4.604
_cell_length_c 8.021
_cell_angle_alpha 90.00
_cell_angle_beta 98.37
_cell_angle_gamma 90.00
_symmetry_space_group_name_H-M 'C 1 2/m 1'
_symmetry_Int_Tables_number 12
_symmetry_space_group_name_Hall '-C 2y'
loop_
_atom_site_label
_atom_site_type_symbol
_atom_site_fract_x
_atom_site_fract_y
_atom_site_fract_z
La1 La 0.051 0.000 0.191
La2 La 0.184 0.500 0.068
La3 La 0.188 0.000 0.554
Ce1 Ce 0.068 0.500 0.682
Os1 Os 0.109 0.500 0.384
Os2 Os 0.121 0.000 0.862



No. 6
# MgBeRh2 (PBE, relaxed)
# VASP energy: -5.400 eV per atom
# Mass density: 7.7 Mg/m³
# Volume: 13.0 Å³ per atom
# DFT formation energy: -0.394 eV per atom
data_MgBeRh2
_cell_length_a 4.168
_cell_length_b 4.168
_cell_length_c 2.985
_cell_angle_alpha 90.00
_cell_angle_beta 90.00
_cell_angle_gamma 90.00
_symmetry_space_group_name_H-M 'P 4/m m m'
_symmetry_Int_Tables_number 123
_symmetry_space_group_name_Hall '-P 4 2'
loop_
_atom_site_label
_atom_site_type_symbol
_atom_site_fract_x
_atom_site_fract_y
_atom_site_fract_z
Mg1 Mg 0.000 0.000 0.000
Be1 Be 0.500 0.500 0.000
Rh1 Rh 0.000 0.500 0.500



No. 7
# La4AlSb (PBE, relaxed)
# VASP energy: -4.540 eV per atom
# Mass density: 6.3 Mg/m³
# Volume: 31.2 Å³ per atom
data_La4AlSb
_cell_length_a 9.077
_cell_length_b 9.077
_cell_length_c 9.077
_cell_angle_alpha 90.00
_cell_angle_beta 90.00
_cell_angle_gamma 90.00
_symmetry_space_group_name_H-M 'F -4 3 m'
_symmetry_Int_Tables_number 216
_symmetry_space_group_name_Hall 'F -4 2 3'
loop_
_atom_site_label
_atom_site_type_symbol
_atom_site_fract_x
_atom_site_fract_y
_atom_site_fract_z
La1 La 0.124 0.124 0.376
Al1 Al 0.250 0.250 0.750
Sb1 Sb 0.000 0.000 0.000



No. 8
# ZrGaCuRu (PBE, relaxed)
# VASP energy: -6.559 eV per atom
# Mass density: 8.6 Mg/m³
# Volume: 15.7 Å³ per atom
# DFT formation energy: -0.322 eV per atom
data_ZrGaCuRu
_cell_length_a 6.311
_cell_length_b 6.311
_cell_length_c 6.311
_cell_angle_alpha 90.00
_cell_angle_beta 90.00
_cell_angle_gamma 90.00
_symmetry_space_group_name_H-M 'F -4 3 m'
_symmetry_Int_Tables_number 216
_symmetry_space_group_name_Hall 'F -4 2 3'
loop_
_atom_site_label
_atom_site_type_symbol
_atom_site_fract_x
_atom_site_fract_y
_atom_site_fract_z
Zr1 Zr 0.000 0.000 0.000
Ga1 Ga 0.000 0.000 0.500
Cu1 Cu 0.250 0.250 0.750
Ru1 Ru 0.250 0.250 0.250